# LiRuSeI

A relaxed structure of LiRuSeI (PBE, the Alexandria database).

Calculated values
M_tot = 0.00 μB/cell
E above lowest polymorph = 0.012 eV per atom
energy = -4.419 eV per atom

a b c (Å): 3.923 3.923 7.247
angles (deg): 105.43 105.43 60.01
Fractional positions:
Li 0.000 0.000 0.000
Ru 0.123 0.123 0.377
Se 0.399 0.399 0.201
I 0.860 0.860 0.592

---

# Pm8Nd4Ho

A relaxed structure of Pm8Nd4Ho (PBE, the Alexandria database).

Calculated values
M_tot = 1.31 μB/cell
density of states at the Fermi level = 1.5867 states/eV per atom
energy = -4.262 eV per atom
DFT formation energy = 480.7 meV/atom

a b c (Å): 7.919 7.919 7.919
angles (deg): 90.77 90.77 90.77
Fractional positions:
Pm 0.236 0.236 0.754
Pm 0.236 0.754 0.236
Pm 0.238 0.238 0.238
Pm 0.246 0.764 0.764
Pm 0.754 0.236 0.236
Pm 0.762 0.762 0.762
Pm 0.764 0.246 0.764
Pm 0.764 0.764 0.246
Nd 0.000 0.000 0.000
Nd 0.000 0.500 0.500
Nd 0.500 0.000 0.500
Nd 0.500 0.500 0.000
Ho 0.500 0.500 0.500

---

# LaBIr

A relaxed structure of LaBIr (PBE, the Alexandria database).

Calculated values
M_tot = 0.00 μB/cell
E above lowest polymorph = 0.025 eV per atom
density of states at the Fermi level = 0.6116 states/eV per atom
energy = -7.340 eV per atom
DFT formation energy = -517.9 meV/atom

a b c (Å): 5.946 5.946 6.149
angles (deg): 90.00 90.00 85.82
Fractional positions:
La 0.131 0.369 0.250
La 0.369 0.131 0.750
La 0.631 0.869 0.250
La 0.869 0.631 0.750
B 0.096 0.904 0.435
B 0.404 0.596 0.935
B 0.596 0.404 0.065
B 0.904 0.096 0.565
Ir 0.159 0.841 0.094
Ir 0.341 0.659 0.594
Ir 0.659 0.341 0.406
Ir 0.841 0.159 0.906

---

# NbCoTcRu2

A relaxed structure of NbCoTcRu2 (PBE, the Alexandria database).

Calculated values
M_tot = 0.00 μB/cell
density of states at the Fermi level = 1.6590 states/eV per atom
energy = -7.771 eV per atom
DFT formation energy = 1447.8 meV/atom

a b c (Å): 4.584 4.584 4.322
angles (deg): 90.00 90.00 90.00
Fractional positions:
Nb 0.000 0.000 0.000
Co 0.500 0.500 0.000
Tc 0.500 0.500 0.500
Ru 0.000 0.500 0.500
Ru 0.500 0.000 0.500

---

> Which formula does entry 2 have?

Pm8Nd4Ho